Entry 1:
First-principles (GGA-PBE) data for a relaxed structure of Nd8Sn2Ge, as listed in Alexandria via LeMat-Bulk.

Computed properties:
Crystal system   monoclinic

a = 19.8767 Å, b = 5.1897 Å, c = 6.9573 Å
α = 90.00°, β = 104.94°, γ = 90.00°
With the nearest neighbours (Å) after each atom.
Space group C2/m (No. 12)
Asymmetric unit:
Nd (0.0172, 0.0000, 0.2760) x4  2 Ge 3.09, 1 Sn 3.26, 1 Nd 3.36
Nd (0.0905, 0.5000, 0.9662) x4  1 Ge 3.28, 2 Sn 3.46, 3 Nd 3.51-3.60
Nd (0.1533, 0.5000, 0.5001) x4  1 Ge 3.05, 3 Sn 3.23-3.34
Nd (0.2182, 0.0000, 0.8205) x4  3 Sn 3.29-3.42, 4 Nd 3.45-3.60
Sn (0.1787, 0.0000, 0.2513) x4  9 Nd 3.23-3.46
Ge (0.0000, 0.5000, 0.5000) x2  8 Nd 3.05-3.28


Entry 2:
First-principles (GGA-PBE) data for a relaxed structure of Nd6Sn2Ge, as listed in Alexandria via LeMat-Bulk.

Computed properties:
Crystal system   hexagonal

a = 8.5473 Å, b = 8.5473 Å, c = 4.3666 Å
α = 90.00°, β = 90.00°, γ = 120.00°
With the nearest neighbours (Å) after each atom.
Space group P-62m (No. 189)
Asymmetric unit:
Nd (0.0000, 0.4042, 0.0000) x3  4 Sn 3.39, 1 Ge 3.46, 6 Nd 3.64-3.73
Nd (0.0000, 0.7455, 0.5000) x3  2 Ge 3.08, 2 Sn 3.24
Sn (0.3333, 0.6667, 0.5000) x2  9 Nd 3.24-3.39
Ge (0.0000, 0.0000, 0.0000) x1  6 Nd 3.08


Entry 3:
First-principles (GGA-PBE) data for a relaxed structure of NdSnGe, as listed in Alexandria via LeMat-Bulk.

Computed properties:
Crystal system   orthorhombic

a = 4.3955 Å, b = 17.1066 Å, c = 4.1220 Å
α = 90.00°, β = 90.00°, γ = 90.00°
With the nearest neighbours (Å) after each atom.
Space group Cmcm (No. 63)
Asymmetric unit:
Nd (0.0000, 0.0957, 0.2500) x4  6 Ge 3.12-3.32, 4 Sn 3.35-3.43
Sn (0.0000, 0.2561, 0.7500) x4  4 Sn 3.02, 2 Nd 3.35
Ge (0.0000, 0.4505, 0.2500) x4  2 Ge 2.67


Entry 4:
First-principles (GGA-PBE) data for a relaxed structure of NdSnGe, as listed in Alexandria via LeMat-Bulk.

Computed properties:
Crystal system   orthorhombic

a = 4.2260 Å, b = 17.7589 Å, c = 4.1171 Å
α = 90.00°, β = 90.00°, γ = 90.00°
With the nearest neighbours (Å) after each atom.
Space group Cmcm (No. 63)
Asymmetric unit:
Nd (0.0000, 0.0956, 0.2500) x4  6 Ge 3.07-3.32, 1 Sn 3.38
Sn (0.0000, 0.2859, 0.2500) x4  1 Ge 2.93, 4 Sn 3.21
Ge (0.0000, 0.4512, 0.2500) x4  2 Ge 2.69, 1 Sn 2.93


Entry 5:
First-principles (GGA-PBE) data for a relaxed structure of Nd3Sn2Ge, as listed in Alexandria via LeMat-Bulk.

Computed properties:
Crystal system   orthorhombic

a = 12.7898 Å, b = 4.4542 Å, c = 12.2809 Å
α = 90.00°, β = 90.00°, γ = 90.00°
With the nearest neighbours (Å) after each atom.
Space group Pnma (No. 62)
Asymmetric unit:
Nd (0.0530, 0.2500, 0.1192) x4  5 Sn 3.18-3.48, 1 Ge 3.24
Nd (0.1141, 0.7500, 0.5513) x4  3 Ge 3.15-3.24, 5 Sn 3.25-3.42
Nd (0.2297, 0.2500, 0.7887) x4  2 Ge 3.05, 1 Sn 3.15
Sn (0.0019, 0.7500, 0.2988) x4  2 Ge 2.89, 3 Nd 3.15-3.20
Sn (0.1919, 0.7500, 0.0048) x4  1 Ge 2.83
Ge (0.1280, 0.2500, 0.3709) x4  3 Sn 2.83-2.89, 4 Nd 3.05-3.15


Entry 6:
First-principles (GGA-PBE) data for a relaxed structure of Nd2Sn4Ge, as listed in Alexandria via LeMat-Bulk.

Computed properties:
Crystal system   tetragonal

a = 6.3117 Å, b = 6.3117 Å, c = 9.9284 Å
α = 90.00°, β = 90.00°, γ = 90.00°
With the nearest neighbours (Å) after each atom.
Space group I4/mmm (No. 139)
Asymmetric unit:
Nd (0.0000, 0.5000, 0.0000) x4  2 Ge 3.16, 8 Sn 3.34
Sn (0.2500, 0.2500, 0.2500) x8  4 Sn 3.16, 2 Ge 3.34, 4 Nd 3.34
Ge (0.0000, 0.0000, 0.0000) x2  4 Nd 3.16, 8 Sn 3.34


Entry 7:
First-principles (GGA-PBE) data for a relaxed structure of Nd12SnGe5, as listed in Alexandria via LeMat-Bulk.

Computed properties:
Crystal system   orthorhombic

a = 9.8278 Å, b = 10.0584 Å, c = 10.6792 Å
α = 90.00°, β = 90.00°, γ = 90.00°
With the nearest neighbours (Å) after each atom.
Space group Immm (No. 71)
Asymmetric unit:
Nd (0.0000, 0.1976, 0.2354) x8  2 Ge 3.05-3.20
Nd (0.2073, 0.5000, 0.1770) x8  3 Ge 2.99-3.07
Nd (0.2288, 0.3187, 0.5000) x8  4 Ge 3.16-3.27
Sn (0.0000, 0.0000, 0.5000) x2  8 Nd 3.44-3.46
Ge (0.0000, 0.0000, 0.0000) x2  8 Nd 3.20-3.23
Ge (0.0000, 0.3695, 0.0000) x4  1 Ge 2.63
Ge (0.0000, 0.5000, 0.3814) x4  1 Ge 2.53


Entry 8:
First-principles (GGA-PBE) data for a relaxed structure of NdSnGe, as listed in Alexandria via LeMat-Bulk.

Computed properties:
Crystal system   hexagonal

a = 4.7469 Å, b = 4.7469 Å, c = 4.0792 Å
α = 90.00°, β = 90.00°, γ = 120.00°
With the nearest neighbours (Å) after each atom.
Space group P-6m2 (No. 187)
Asymmetric unit:
Nd (0.0000, 0.0000, 0.0000) x1  6 Ge 3.42, 6 Sn 3.42
Sn (0.3333, 0.6667, 0.5000) x1  3 Ge 2.74
Ge (0.6667, 0.3333, 0.5000) x1  3 Sn 2.74


Number 1: ΔH_f (0 K) -0.4206 eV/atom. Number 2: ΔH_f (0 K) -0.5948 eV/atom. Number 3: ΔH_f (0 K) -0.6566 eV/atom. Number 4: ΔH_f (0 K) -0.6051 eV/atom. Number 5: ΔH_f (0 K) -0.7017 eV/atom. Number 6: ΔH_f (0 K) -0.4475 eV/atom. Number 7: ΔH_f (0 K) -0.5909 eV/atom. Number 8: ΔH_f (0 K) -0.4708 eV/atom.